An optimized crystal structure of LiTb2Be4Pt3, computed with PBE-GGA.

a b c (Å): 4.063 4.063 9.321
angles (deg): 90.00 90.00 90.00
Space group P-4m2 (No. 115)
Symmetry-distinct sites (fractional):
Li 0.000 0.000 0.000 [1 per cell]
Tb 0.000 0.500 0.747 [2 per cell]
Be 0.000 0.000 0.500 [1 per cell]
Be 0.000 0.500 0.123 [2 per cell]
Be 0.500 0.500 0.500 [1 per cell]
Pt 0.000 0.500 0.372 [2 per cell]
Pt 0.500 0.500 0.000 [1 per cell]

Summary:
DOS(E_F)   6.5 states/eV/cell
Formation enthalpy at 0 K   -6.85 eV per formula unit